(1)
The following is a PBE-GGA calculation of an optimized crystal structure of TaBF2, from the Alexandria database.

Computed properties:
- Magnetic moment: 0.000 μB/atom
- Energy relative to the elements, uncorrected: -1.04 eV/atom
- Distance to the lowest polymorph of the same formula: 0 meV/atom
- V: 86.5 Å³/cell

```
TaBF2
1.0
-1.695 1.695 7.525
1.695 -1.695 7.525
1.695 1.695 -7.525
Ta B F
2 2 4
direct
0.000 0.000 0.000
0.750 0.250 0.500
0.250 0.750 0.500
0.500 0.500 0.000
0.093 0.625 0.968
0.375 0.343 0.468
0.657 0.125 0.032
0.875 0.907 0.532
```

=====

(2)
The following is a PBE-GGA calculation of an optimized crystal structure of Dy2HoScTl4, from the Alexandria database.

Computed properties:
- Formation energy from the elements: -308 meV/atom
- Magnetic moment: 0.000 μB/atom
- V: 210.7 Å³/cell

```
Dy2HoScTl4
1.0
2.648 1.529 8.677
-2.648 1.529 8.677
0.000 -3.057 8.677
Dy Ho Sc Tl
2 1 1 4
direct
0.249 0.249 0.249
0.751 0.751 0.751
0.000 0.000 0.000
0.500 0.500 0.500
0.126 0.126 0.126
0.376 0.376 0.376
0.624 0.624 0.624
0.874 0.874 0.874
```

=====

(3)
The following is a PBE-GGA calculation of an optimized crystal structure of Ba4SbBr, from the Alexandria database.

Computed properties:
- Magnetic moment: 0.201 μB/atom
- Energy relative to the elements, uncorrected: -0.19 eV/atom
- V: 265.3 Å³/cell

```
Ba4SbBr
1.0
0.000 5.100 5.100
5.100 0.000 5.100
5.100 5.100 0.000
Ba Sb Br
4 1 1
direct
0.376 0.376 0.376
0.376 0.376 0.871
0.376 0.871 0.376
0.871 0.376 0.376
0.750 0.750 0.750
0.000 0.000 0.000
```

=====

(4)
The following is a PBE-GGA calculation of an optimized crystal structure of Ru2RhCl, from the Alexandria database.

Computed properties:
- Magnetic moment: 0.412 μB/atom
- Energy relative to the elements, uncorrected: 0.66 eV/atom
- Distance to the lowest polymorph of the same formula: 309 meV/atom
- V: 59.9 Å³/cell

```
Ru2RhCl
1.0
1.382 -2.461 0.000
1.382 2.461 0.000
0.000 0.000 8.802
Ru Rh Cl
2 1 1
direct
0.000 0.000 0.244
0.000 0.000 0.756
0.500 0.500 0.500
0.500 0.500 0.000
```

=====

(5)
The following is a PBE-GGA calculation of an optimized crystal structure of PrScGa2Pd2, from the Alexandria database.

Computed properties:
- Formation energy from the elements: -841 meV/atom
- Magnetic moment: 0.000 μB/atom
- V: 119.5 Å³/cell

```
PrScGa2Pd2
1.0
4.481 0.000 0.000
-2.241 3.881 0.000
0.000 0.000 6.869
Pr Sc Ga Pd
1 1 2 2
direct
0.000 0.000 0.000
0.000 0.000 0.500
0.333 0.667 0.293
0.667 0.333 0.707
0.333 0.667 0.705
0.667 0.333 0.295
```

=====

(6)
The following is a PBE-GGA calculation of an optimized crystal structure of Ba2LiTcPd, from the Alexandria database.

Computed properties:
- Formation energy from the elements: 773 meV/atom
- Magnetic moment: 0.426 μB/atom
- V: 151.5 Å³/cell

```
Ba2LiTcPd
1.0
5.830 0.000 0.000
0.000 5.830 0.000
0.000 0.000 4.459
Ba Li Tc Pd
2 1 1 1
direct
0.000 0.500 0.000
0.500 0.000 0.000
0.000 0.000 0.000
0.000 0.000 0.500
0.500 0.500 0.500
```

=====

no.,density (g/cm³)
1,8.8
2,10.7
3,4.7
4,9.4
5,7.5
6,5.3